No. 1
Compound: CsHoPu
Source: OQMD
Functional: PBE
Structure: optimized geometry

Lattice parameters (Å, degrees): 9.071 9.071 9.071 90.00 90.00 90.00
Atoms (fractional coordinates):
1 Cs 0.000 0.000 0.000
2 Cs 0.000 0.500 0.500
3 Cs 0.500 0.000 0.500
4 Cs 0.500 0.500 0.000
5 Ho 0.250 0.250 0.750
6 Ho 0.250 0.750 0.250
7 Ho 0.750 0.250 0.250
8 Ho 0.750 0.750 0.750
9 Pu 0.000 0.000 0.500
10 Pu 0.000 0.500 0.000
11 Pu 0.500 0.000 0.000
12 Pu 0.500 0.500 0.500

Calculated values
* symmetry: F-43m, No. 216
* size of the total moment: 8.35 μB/f.u.
* DFT total energy: -62.43 eV per cell


No. 2
Compound: Dy7Y
Source: OQMD
Functional: PBE
Structure: optimized geometry

Lattice parameters (Å, degrees): 7.235 7.235 5.629 90.00 90.00 120.00
Atoms (fractional coordinates):
1 Dy 0.000 0.000 0.000
2 Dy 0.002 0.501 0.000
3 Dy 0.167 0.335 0.500
4 Dy 0.167 0.833 0.500
5 Dy 0.499 0.501 0.000
6 Dy 0.499 0.998 0.000
7 Dy 0.665 0.833 0.500
8 Y 0.667 0.333 0.500

Calculated values
* symmetry: P-6m2, No. 187
* size of the total moment: 0.56 μB/f.u.
* formation energy: 0.0079 eV per atom
* DFT total energy: -38.61 eV per cell


No. 3
Compound: CoCl
Source: OQMD
Functional: PBE
Structure: optimized geometry

Lattice parameters (Å, degrees): 3.613 3.613 6.272 90.00 90.00 120.00
Atoms (fractional coordinates):
1 Co 0.333 0.667 0.000
2 Co 0.667 0.333 0.500
3 Cl 0.333 0.667 0.639
4 Cl 0.667 0.333 0.139

Calculated values
* symmetry: P6_3mc, No. 186
* size of the total moment: 2.00 μB/f.u.
* DFT total energy: -17.46 eV per cell


No. 4
Compound: TbYIn
Source: OQMD
Functional: PBE
Structure: optimized geometry

Lattice parameters (Å, degrees): 7.340 7.340 7.340 90.00 90.00 90.00
Atoms (fractional coordinates):
1 Tb 0.000 0.000 0.000
2 Tb 0.000 0.500 0.500
3 Tb 0.500 0.000 0.500
4 Tb 0.500 0.500 0.000
5 Y 0.000 0.000 0.500
6 Y 0.000 0.500 0.000
7 Y 0.500 0.000 0.000
8 Y 0.500 0.500 0.500
9 In 0.250 0.250 0.250
10 In 0.250 0.750 0.750
11 In 0.750 0.250 0.750
12 In 0.750 0.750 0.250

Calculated values
* symmetry: F-43m, No. 216
* relative energy among the computed polymorphs: 0 meV/atom
* size of the total moment: 0.04 μB/f.u.
* DFT total energy: -56.75 eV per cell


No. 5
Compound: CuTc3C
Source: OQMD
Functional: PBE
Structure: optimized geometry

Lattice parameters (Å, degrees): 4.033 4.033 4.033 90.00 90.00 90.00
Atoms (fractional coordinates):
1 Cu 0.000 0.000 0.000
2 Tc 0.000 0.500 0.500
3 Tc 0.500 0.000 0.500
4 Tc 0.500 0.500 0.000
5 C 0.500 0.500 0.500

Calculated values
* symmetry: Pm-3m, No. 221
* size of the total moment: 0.01 μB/f.u.
* DFT total energy: -42.46 eV per cell


No. 6
Compound: YHoNb
Source: OQMD
Functional: PBE
Structure: optimized geometry

Lattice parameters (Å, degrees): 7.160 7.160 7.160 90.00 90.00 90.00
Atoms (fractional coordinates):
1 Y 0.000 0.000 0.000
2 Y 0.000 0.500 0.500
3 Y 0.500 0.000 0.500
4 Y 0.500 0.500 0.000
5 Ho 0.000 0.000 0.500
6 Ho 0.000 0.500 0.000
7 Ho 0.500 0.000 0.000
8 Ho 0.500 0.500 0.500
9 Nb 0.250 0.250 0.750
10 Nb 0.250 0.750 0.250
11 Nb 0.750 0.250 0.250
12 Nb 0.750 0.750 0.750

Calculated values
* symmetry: F-43m, No. 216
* relative energy among the computed polymorphs: 0 meV/atom
* size of the total moment: 2.18 μB/f.u.
* formation energy: 0.8073 eV per atom
* DFT total energy: -74.86 eV per cell


No. 7
Compound: BaGa2Co
Source: OQMD
Functional: PBE
Structure: optimized geometry

Lattice parameters (Å, degrees): 7.018 7.018 7.018 90.00 90.00 90.00
Atoms (fractional coordinates):
1 Ba 0.000 0.000 0.000
2 Ba 0.000 0.500 0.500
3 Ba 0.500 0.000 0.500
4 Ba 0.500 0.500 0.000
5 Ga 0.000 0.000 0.500
6 Ga 0.000 0.500 0.000
7 Ga 0.250 0.250 0.750
8 Ga 0.250 0.750 0.250
9 Ga 0.500 0.000 0.000
10 Ga 0.500 0.500 0.500
11 Ga 0.750 0.250 0.250
12 Ga 0.750 0.750 0.750
13 Co 0.250 0.250 0.250
14 Co 0.250 0.750 0.750
15 Co 0.750 0.250 0.750
16 Co 0.750 0.750 0.250

Calculated values
* symmetry: F-43m, No. 216
* size of the total moment: 0.00 μB/f.u.
* DFT total energy: -54.51 eV per cell


No. 8
Compound: KRbPdCl4
Source: OQMD
Functional: PBE
Structure: optimized geometry

Lattice parameters (Å, degrees): 4.203 7.077 7.256 90.00 90.00 90.00
Atoms (fractional coordinates):
1 K 0.000 0.000 0.000
2 Rb 0.000 0.500 0.500
3 Pd 0.500 0.500 0.000
4 Cl 0.500 0.265 0.226
5 Cl 0.500 0.265 0.774
6 Cl 0.500 0.735 0.226
7 Cl 0.500 0.735 0.774

Calculated values
* symmetry: Pmmm, No. 47
* DFT total energy: -24.26 eV per cell


No. 9
Compound: Ag3SnS4
Source: OQMD
Functional: PBE
Structure: optimized geometry

Lattice parameters (Å, degrees): 5.812 5.812 11.560 90.00 90.00 90.00
Atoms (fractional coordinates):
1 Ag 0.000 0.000 0.000
2 Ag 0.000 0.500 0.250
3 Ag 0.000 0.500 0.750
4 Ag 0.500 0.000 0.250
5 Ag 0.500 0.000 0.750
6 Ag 0.500 0.500 0.500
7 Sn 0.000 0.000 0.500
8 Sn 0.500 0.500 0.000
9 S 0.243 0.243 0.377
10 S 0.243 0.757 0.623
11 S 0.257 0.257 0.877
12 S 0.257 0.743 0.123
13 S 0.743 0.257 0.123
14 S 0.743 0.743 0.877
15 S 0.757 0.243 0.623
16 S 0.757 0.757 0.377

Calculated values
* symmetry: I-42m, No. 121
* DFT total energy: -60.73 eV per cell


No. 10
Compound: PrSi2Au4
Source: OQMD
Functional: PBE
Structure: optimized geometry

Lattice parameters (Å, degrees): 4.392 13.962 4.381 90.00 90.00 90.00
Atoms (fractional coordinates):
1 Pr 0.000 0.000 0.000
2 Pr 0.500 0.500 0.000
3 Si 0.000 0.415 0.500
4 Si 0.000 0.585 0.500
5 Si 0.500 0.085 0.500
6 Si 0.500 0.915 0.500
7 Au 0.000 0.174 0.500
8 Au 0.000 0.325 0.000
9 Au 0.000 0.675 0.000
10 Au 0.000 0.826 0.500
11 Au 0.500 0.175 0.000
12 Au 0.500 0.326 0.500
13 Au 0.500 0.674 0.500
14 Au 0.500 0.825 0.000

Calculated values
* symmetry: Cmmm, No. 65
* size of the total moment: 0.00 μB/f.u.
* DFT total energy: -64.17 eV per cell


No. 11
Compound: NpNbGa
Source: OQMD
Functional: PBE
Structure: optimized geometry

Lattice parameters (Å, degrees): 6.429 6.429 6.429 90.00 90.00 90.00
Atoms (fractional coordinates):
1 Np 0.000 0.000 0.000
2 Np 0.000 0.500 0.500
3 Np 0.500 0.000 0.500
4 Np 0.500 0.500 0.000
5 Nb 0.250 0.250 0.250
6 Nb 0.250 0.750 0.750
7 Nb 0.750 0.250 0.750
8 Nb 0.750 0.750 0.250
9 Ga 0.250 0.250 0.750
10 Ga 0.250 0.750 0.250
11 Ga 0.750 0.250 0.250
12 Ga 0.750 0.750 0.750

Calculated values
* symmetry: F-43m, No. 216
* relative energy among the computed polymorphs: 485 meV/atom
* size of the total moment: 2.83 μB/f.u.
* DFT total energy: -90.50 eV per cell


No. 12
Compound: GdYCo2Si2
Source: OQMD
Functional: PBE
Structure: optimized geometry

Lattice parameters (Å, degrees): 3.963 3.963 6.713 90.00 90.00 90.00
Atoms (fractional coordinates):
1 Gd 0.000 0.000 0.000
2 Y 0.500 0.500 0.639
3 Co 0.000 0.500 0.321
4 Co 0.500 0.000 0.321
5 Si 0.000 0.000 0.507
6 Si 0.500 0.500 0.138

Calculated values
* symmetry: P4mm, No. 99
* size of the total moment: 0.55 μB/f.u.
* DFT total energy: -40.63 eV per cell


No. 13
Compound: AcZr
Source: OQMD
Functional: PBE
Structure: optimized geometry

Lattice parameters (Å, degrees): 5.525 12.007 5.956 90.00 90.00 90.00
Atoms (fractional coordinates):
1 Ac 0.000 0.079 0.000
2 Ac 0.000 0.388 0.067
3 Ac 0.000 0.612 0.567
4 Ac 0.000 0.921 0.500
5 Ac 0.500 0.375 0.617
6 Ac 0.500 0.625 0.117
7 Zr 0.000 0.212 0.505
8 Zr 0.000 0.788 0.005
9 Zr 0.500 0.081 0.647
10 Zr 0.500 0.197 0.189
11 Zr 0.500 0.803 0.689
12 Zr 0.500 0.919 0.147

Calculated values
* symmetry: Pmc2_1, No. 26
* relative energy among the computed polymorphs: 97 meV/atom
* size of the total moment: 0.01 μB/f.u.
* formation energy: 0.2364 eV per atom
* DFT total energy: -73.08 eV per cell


No. 14
Compound: ZrAg2Hg
Source: OQMD
Functional: PBE
Structure: optimized geometry

Lattice parameters (Å, degrees): 6.773 6.773 6.773 90.00 90.00 90.00
Atoms (fractional coordinates):
1 Zr 0.000 0.000 0.000
2 Zr 0.000 0.500 0.500
3 Zr 0.500 0.000 0.500
4 Zr 0.500 0.500 0.000
5 Ag 0.000 0.000 0.500
6 Ag 0.000 0.500 0.000
7 Ag 0.250 0.250 0.250
8 Ag 0.250 0.750 0.750
9 Ag 0.500 0.000 0.000
10 Ag 0.500 0.500 0.500
11 Ag 0.750 0.250 0.750
12 Ag 0.750 0.750 0.250
13 Hg 0.250 0.250 0.750
14 Hg 0.250 0.750 0.250
15 Hg 0.750 0.250 0.250
16 Hg 0.750 0.750 0.750

Calculated values
* symmetry: F-43m, No. 216
* size of the total moment: 0.00 μB/f.u.
* formation energy: -0.0602 eV per atom
* DFT total energy: -58.94 eV per cell


No. 15
Compound: ErCuTe2PbS
Source: OQMD
Functional: PBE
Structure: optimized geometry

Lattice parameters (Å, degrees): 7.523 7.523 10.315 90.00 90.00 147.81
Atoms (fractional coordinates):
1 Er 0.000 0.000 0.000
2 Er 0.000 0.000 0.500
3 Cu 0.481 0.519 0.750
4 Cu 0.519 0.481 0.250
5 Te 0.353 0.647 0.563
6 Te 0.353 0.647 0.937
7 Te 0.647 0.353 0.063
8 Te 0.647 0.353 0.437
9 Pb 0.273 0.727 0.250
10 Pb 0.727 0.273 0.750
11 S 0.063 0.937 0.750
12 S 0.937 0.063 0.250

Calculated values
* symmetry: Cmcm, No. 63
* size of the total moment: 0.00 μB/f.u.
* DFT total energy: -54.76 eV per cell


No. 16
Compound: LaZrSb
Source: OQMD
Functional: PBE
Structure: optimized geometry

Lattice parameters (Å, degrees): 7.451 7.451 7.451 90.00 90.00 90.00
Atoms (fractional coordinates):
1 La 0.000 0.000 0.000
2 La 0.000 0.500 0.500
3 La 0.500 0.000 0.500
4 La 0.500 0.500 0.000
5 Zr 0.250 0.250 0.250
6 Zr 0.250 0.750 0.750
7 Zr 0.750 0.250 0.750
8 Zr 0.750 0.750 0.250
9 Sb 0.250 0.250 0.750
10 Sb 0.250 0.750 0.250
11 Sb 0.750 0.250 0.250
12 Sb 0.750 0.750 0.750

Calculated values
* symmetry: F-43m, No. 216
* size of the total moment: 3.68 μB/f.u.
* DFT total energy: -65.24 eV per cell


No. 17
Compound: TlCuGeTe3
Source: OQMD
Functional: PBE
Structure: optimized geometry

Lattice parameters (Å, degrees): 11.793 4.296 13.015 90.00 90.00 90.00
Atoms (fractional coordinates):
1 Tl 0.249 0.250 0.014
2 Tl 0.251 0.750 0.514
3 Tl 0.749 0.250 0.486
4 Tl 0.751 0.750 0.986
5 Cu 0.245 0.250 0.336
6 Cu 0.255 0.750 0.836
7 Cu 0.745 0.250 0.164
8 Cu 0.755 0.750 0.664
9 Ge 0.011 0.750 0.244
10 Ge 0.489 0.250 0.744
11 Ge 0.511 0.750 0.256
12 Ge 0.989 0.250 0.756
13 Te 0.034 0.250 0.406
14 Te 0.040 0.750 0.897
15 Te 0.242 0.750 0.218
16 Te 0.258 0.250 0.718
17 Te 0.460 0.250 0.397
18 Te 0.466 0.750 0.906
19 Te 0.534 0.250 0.094
20 Te 0.540 0.750 0.603
21 Te 0.742 0.750 0.282
22 Te 0.758 0.250 0.782
23 Te 0.960 0.250 0.103
24 Te 0.966 0.750 0.594

Calculated values
* symmetry: Pnma, No. 62
* relative energy among the computed polymorphs: 0 meV/atom
* DFT total energy: -82.57 eV per cell


No. 18
Compound: PrTmGeCl2
Source: OQMD
Functional: PBE
Structure: optimized geometry

Lattice parameters (Å, degrees): 4.154 4.154 9.732 90.00 90.00 120.00
Atoms (fractional coordinates):
1 Pr 0.000 0.000 0.000
2 Tm 0.333 0.667 0.662
3 Ge 0.667 0.333 0.822
4 Cl 0.000 0.000 0.510
5 Cl 0.333 0.667 0.170

Calculated values
* symmetry: P3m1, No. 156
* size of the total moment: 0.00 μB/f.u.
* DFT total energy: -25.57 eV per cell


No. 19
Compound: SbAsPd4
Source: OQMD
Functional: PBE
Structure: optimized geometry

Lattice parameters (Å, degrees): 8.782 8.782 6.870 90.00 90.00 157.54
Atoms (fractional coordinates):
1 Sb 0.204 0.796 0.500
2 Sb 0.796 0.204 0.000
3 As 0.444 0.556 0.526
4 As 0.556 0.444 0.026
5 Pd 0.035 0.965 0.720
6 Pd 0.171 0.829 0.117
7 Pd 0.334 0.666 0.278
8 Pd 0.418 0.582 0.890
9 Pd 0.582 0.418 0.390
10 Pd 0.666 0.334 0.778
11 Pd 0.829 0.171 0.617
12 Pd 0.965 0.035 0.220

Calculated values
* symmetry: Cmc2_1, No. 36
* relative energy among the computed polymorphs: 0 meV/atom
* DFT total energy: -64.04 eV per cell


No. 20
Compound: GdH2SO5F
Source: OQMD
Functional: PBE
Structure: optimized geometry

Lattice parameters (Å, degrees): 4.866 7.261 12.003 90.00 108.45 90.00
Atoms (fractional coordinates):
1 Gd 0.033 0.232 0.316
2 Gd 0.033 0.268 0.816
3 Gd 0.967 0.732 0.184
4 Gd 0.967 0.768 0.684
5 H 0.250 0.613 0.504
6 H 0.250 0.887 0.004
7 H 0.314 0.019 0.114
8 H 0.314 0.481 0.614
9 H 0.686 0.519 0.386
10 H 0.686 0.981 0.886
11 H 0.750 0.113 0.996
12 H 0.750 0.387 0.496
13 S 0.403 0.128 0.617
14 S 0.403 0.372 0.117
15 S 0.597 0.628 0.883
16 S 0.597 0.872 0.383
17 O 0.224 0.536 0.102
18 O 0.224 0.964 0.602
19 O 0.241 0.603 0.584
20 O 0.241 0.897 0.084
21 O 0.283 0.576 0.834
22 O 0.283 0.924 0.334
23 O 0.341 0.238 0.200
24 O 0.341 0.262 0.700
25 O 0.357 0.223 0.504
26 O 0.357 0.277 0.004
27 O 0.643 0.723 0.996
28 O 0.643 0.777 0.496
29 O 0.659 0.738 0.300
30 O 0.659 0.762 0.800
31 O 0.717 0.076 0.666
32 O 0.717 0.424 0.166
33 O 0.759 0.103 0.916
34 O 0.759 0.397 0.416
35 O 0.776 0.036 0.398
36 O 0.776 0.464 0.898
37 F 0.182 0.534 0.333
38 F 0.182 0.966 0.833
39 F 0.818 0.034 0.167
40 F 0.818 0.466 0.667

Calculated values
* symmetry: P2_1/c, No. 14
* size of the total moment: 0.00 μB/f.u.
* DFT total energy: -250.85 eV per cell